Entry 1:
The following is a GGA-PBE calculation of a relaxed structure of Mg3MnZn, from the Alexandria database.

Results
For the volume, the calculation gives 134.8 Å³/cell. The formation energy is 0.716 eV per atom. The total magnetization comes out at 3.55 μB per formula unit.

a b c (Å): 5.127 5.127 5.127
angles (deg): 90.00 90.00 90.00
Fractional coordinates of all 5 atoms:
Zn (0.500, 0.500, 0.500)
Mn (0.000, 0.000, 0.000)
Mg (0.000, 0.500, 0.000)
Mg (0.000, 0.000, 0.500)
Mg (0.500, 0.000, 0.000)

***

Entry 2:
The following is a GGA-PBE calculation of a relaxed structure of EuPaZnGe, from the Alexandria database.

Results
For the volume, the calculation gives 93.5 Å³/cell. The formation energy is -0.145 eV per atom. The total magnetization comes out at 7.89 μB per formula unit.

a b c (Å): 5.095 5.095 5.095
angles (deg): 60.00 60.00 60.00
Fractional coordinates of all 4 atoms:
Eu (0.250, 0.250, 0.250)
Ge (0.000, 0.000, 0.000)
Pa (0.750, 0.750, 0.750)
Zn (0.500, 0.500, 0.500)

***

Entry 3:
The following is a GGA-PBE calculation of a relaxed structure of LiNi2C2, from the Alexandria database.

Results
For the volume, the calculation gives 49.5 Å³/cell. The formation energy is 0.691 eV per atom. The total magnetization comes out at 0.00 μB per formula unit.

a b c (Å): 3.572 3.572 4.627
angles (deg): 67.29 67.29 90.00
Fractional coordinates of all 5 atoms:
Ni (0.343, 0.343, 0.314)
Ni (0.657, 0.657, 0.686)
C (0.750, 0.250, 0.500)
C (0.250, 0.750, 0.500)
Li (0.000, 0.000, 0.000)